Below is an optimized crystal structure of LaPaRhN3, with properties calculated at the PBE-GGA level.

Unit cell a=5.882 b=4.472 c=8.390 alpha=90.00 beta=108.58 gamma=90.00
Positions (direct):
La (0.166, 0.250, 0.167)
La (0.834, 0.750, 0.833)
Pa (0.216, 0.250, 0.633)
Pa (0.784, 0.750, 0.367)
Rh (0.330, 0.750, 0.439)
Rh (0.670, 0.250, 0.561)
N (0.118, 0.750, 0.608)
N (0.214, 0.750, 0.051)
N (0.404, 0.750, 0.196)
N (0.596, 0.250, 0.804)
N (0.786, 0.250, 0.949)
N (0.882, 0.250, 0.392)

Computed properties:
- Crystal system: monoclinic
- E: -8.6645 eV/atom
- Formation energy from raw total energies: -505 kJ/mol of formula units

---

Below is an optimized crystal structure of LaPaRuN3, with properties calculated at the PBE-GGA level.

Unit cell a=7.422 b=3.461 c=7.699 alpha=90.00 beta=100.46 gamma=90.00
Positions (direct):
La (0.167, 0.250, 0.198)
La (0.833, 0.750, 0.802)
Pa (0.346, 0.750, 0.829)
Pa (0.654, 0.250, 0.171)
Ru (0.107, 0.250, 0.586)
Ru (0.893, 0.750, 0.414)
N (0.135, 0.250, 0.867)
N (0.184, 0.750, 0.465)
N (0.432, 0.750, 0.126)
N (0.568, 0.250, 0.874)
N (0.816, 0.250, 0.535)
N (0.865, 0.750, 0.133)

Computed properties:
- Crystal system: monoclinic
- E: -9.0813 eV/atom
- Formation energy from raw total energies: -561 kJ/mol of formula units